ZnFeSi2 GGA-PBE optimized geometry; volume = 13.677 A^3/atom; uncorrected formation energy = 0.189 eV per atom; Fermi-level density of states = 0.706 states/eV per atom
1.0
1.445 0.834 7.567
-1.445 0.834 7.567
0.000 -1.668 7.567
Zn Fe Si
1 1 2
Direct
0.000 0.000 0.000
0.754 0.754 0.754
0.243 0.243 0.243
0.493 0.493 0.493



ZnFe4Si GGA-PBE optimized geometry; volume = 12.470 A^3/atom; uncorrected formation energy = 0.166 eV per atom; Fermi-level density of states = 0.906 states/eV per atom
1.0
0.000 3.345 3.345
3.345 0.000 3.345
3.345 3.345 0.000
Zn Fe Si
1 4 1
Direct
0.000 0.000 0.000
0.125 0.625 0.625
0.625 0.125 0.625
0.625 0.625 0.125
0.625 0.625 0.625
0.250 0.250 0.250



ZnFeSi GGA-PBE optimized geometry; volume = 13.003 A^3/atom; uncorrected formation energy = 0.088 eV per atom; Fermi-level density of states = 0.808 states/eV per atom
1.0
-1.303 1.303 5.744
1.303 -1.303 5.744
1.303 1.303 -5.744
Zn Fe Si
1 1 1
Direct
0.000 0.000 0.000
0.664 0.664 0.000
0.306 0.306 0.000



Zn3FeSi GGA-PBE optimized geometry; volume = 19.368 A^3/atom; uncorrected formation energy = 0.802 eV per atom; Fermi-level density of states = 0.718 states/eV per atom
1.0
4.592 0.000 0.000
0.000 4.592 0.000
0.000 0.000 4.592
Zn Fe Si
3 1 1
Direct
0.000 0.000 0.500
0.000 0.500 0.000
0.500 0.000 0.000
0.000 0.000 0.000
0.500 0.500 0.500